(1)
## NaInHgGe (PBE)

Data for a geometry-optimized NaInHgGe structure.

Cell lengths 7.199, 7.199, 7.199 Å; angles 90.00, 90.00, 90.00 degrees
Space group F-43m (No. 216)
Symmetry-distinct sites (fractional):
Na: 0.000 0.000 0.000 (multiplicity 4)
In: 0.000 0.000 0.500 (multiplicity 4)
Hg: 0.250 0.250 0.250 (multiplicity 4)
Ge: 0.250 0.250 0.750 (multiplicity 4)

Values from the calculation:
- DFT formation energy: -2.96 kJ/mol of atoms
- Size of the total moment: 0.000 μB per atom

(2)
## In2NiHgGe (PBE)

Data for a geometry-optimized In2NiHgGe structure.

Cell lengths 5.102, 5.102, 4.519 Å; angles 90.00, 90.00, 90.00 degrees
Space group P4/mmm (No. 123)
Symmetry-distinct sites (fractional):
In: 0.000 0.500 0.000 (multiplicity 2)
Ni: 0.000 0.000 0.000 (multiplicity 1)
Hg: 0.500 0.500 0.500 (multiplicity 1)
Ge: 0.000 0.000 0.500 (multiplicity 1)

Values from the calculation:
- DFT formation energy: 1.86 kJ/mol of atoms
- Size of the total moment: 0.000 μB per atom

(3)
## InHgGe2O6 (PBE)

Data for a geometry-optimized InHgGe2O6 structure.

Cell lengths 10.539, 10.500, 5.261 Å; angles 90.00, 99.62, 90.00 degrees
Space group C2/c (No. 15)
Symmetry-distinct sites (fractional):
In: 0.000 0.216 0.250 (multiplicity 4)
Hg: 0.000 0.431 0.750 (multiplicity 4)
Ge: 0.199 0.093 0.777 (multiplicity 8)
O: 0.104 0.212 0.616 (multiplicity 8)
O: 0.137 0.366 0.163 (multiplicity 8)
O: 0.155 0.055 0.093 (multiplicity 8)

Values from the calculation:
- Energy relative to the elements, uncorrected: -1219 kJ/mol of formula units
- Size of the total moment: 0.000 μB per atom

(4)
## InHgGeO4 (PBE)

Data for a geometry-optimized InHgGeO4 structure.

Cell lengths 11.624, 5.919, 6.761 Å; angles 90.00, 102.39, 90.00 degrees
Space group C2/m (No. 12)
Symmetry-distinct sites (fractional):
In: 0.202 0.000 0.357 (multiplicity 4)
Hg: 0.108 0.500 0.990 (multiplicity 4)
Ge: 0.123 0.000 0.761 (multiplicity 4)
O: 0.023 0.000 0.228 (multiplicity 4)
O: 0.173 0.224 0.621 (multiplicity 8)
O: 0.209 0.000 0.018 (multiplicity 4)

Values from the calculation:
- Energy relative to the elements, uncorrected: -818 kJ/mol of formula units
- Size of the total moment: 0.004 μB per atom

(5)
## In2HgGeOs (PBE)

Data for a geometry-optimized In2HgGeOs structure.

Cell lengths 5.280, 5.280, 4.739 Å; angles 90.00, 90.00, 90.00 degrees
Space group P4/mmm (No. 123)
Symmetry-distinct sites (fractional):
In: 0.000 0.500 0.000 (multiplicity 2)
Hg: 0.000 0.000 0.500 (multiplicity 1)
Ge: 0.500 0.500 0.500 (multiplicity 1)
Os: 0.500 0.500 0.000 (multiplicity 1)

Values from the calculation:
- DFT formation energy: 6.47 kJ/mol of atoms
- Size of the total moment: 0.000 μB per atom

(6)
## InHgGePd2 (PBE)

Data for a geometry-optimized InHgGePd2 structure.

Cell lengths 4.767, 4.767, 5.151 Å; angles 90.00, 90.00, 90.00 degrees
Space group P4/mmm (No. 123)
Symmetry-distinct sites (fractional):
In: 0.000 0.000 0.000 (multiplicity 1)
Hg: 0.500 0.500 0.000 (multiplicity 1)
Ge: 0.500 0.500 0.500 (multiplicity 1)
Pd: 0.000 0.500 0.500 (multiplicity 2)

Values from the calculation:
- DFT formation energy: 16.57 kJ/mol of atoms
- Size of the total moment: 0.000 μB per atom

(7)
## PuInHgGe (PBE)

Data for a geometry-optimized PuInHgGe structure.

Cell lengths 4.275, 4.392, 4.965 Å; angles 90.00, 90.00, 90.00 degrees
Space group Pmmm (No. 47)
Symmetry-distinct sites (fractional):
Pu: 0.000 0.000 0.000 (multiplicity 1)
In: 0.000 0.500 0.500 (multiplicity 1)
Hg: 0.500 0.000 0.500 (multiplicity 1)
Ge: 0.500 0.500 0.000 (multiplicity 1)

Values from the calculation:
- DFT formation energy: -21.90 kJ/mol of atoms
- Size of the total moment: 1.357 μB per atom

(8)
## PuInHgGe (PBE)

Data for a geometry-optimized PuInHgGe structure.

Cell lengths 7.238, 7.238, 7.238 Å; angles 90.00, 90.00, 90.00 degrees
Space group F-43m (No. 216)
Symmetry-distinct sites (fractional):
Pu: 0.000 0.000 0.000 (multiplicity 4)
In: 0.000 0.000 0.500 (multiplicity 4)
Hg: 0.250 0.250 0.250 (multiplicity 4)
Ge: 0.250 0.250 0.750 (multiplicity 4)

Values from the calculation:
- DFT formation energy: -12.61 kJ/mol of atoms
- Size of the total moment: 1.397 μB per atom

(9)
## RbInHg2Ge (PBE)

Data for a geometry-optimized RbInHg2Ge structure.

Cell lengths 5.734, 5.734, 5.503 Å; angles 90.00, 90.00, 90.00 degrees
Space group P4/mmm (No. 123)
Symmetry-distinct sites (fractional):
Rb: 0.000 0.000 0.000 (multiplicity 1)
In: 0.500 0.500 0.000 (multiplicity 1)
Hg: 0.000 0.500 0.500 (multiplicity 2)
Ge: 0.500 0.500 0.500 (multiplicity 1)

Values from the calculation:
- DFT formation energy: 3.13 kJ/mol of atoms
- Size of the total moment: 0.000 μB per atom

(10)
## In2HgGeRu (PBE)

Data for a geometry-optimized In2HgGeRu structure.

Cell lengths 5.251, 5.251, 4.719 Å; angles 90.00, 90.00, 90.00 degrees
Space group P4/mmm (No. 123)
Symmetry-distinct sites (fractional):
In: 0.000 0.500 0.000 (multiplicity 2)
Hg: 0.000 0.000 0.500 (multiplicity 1)
Ge: 0.500 0.500 0.500 (multiplicity 1)
Ru: 0.500 0.500 0.000 (multiplicity 1)

Values from the calculation:
- DFT formation energy: -2.82 kJ/mol of atoms
- Size of the total moment: 0.000 μB per atom

(11)
## In2HgGeS6 (PBE)

Data for a geometry-optimized In2HgGeS6 structure.

Cell lengths 14.058, 14.366, 6.623 Å; angles 90.00, 117.65, 90.00 degrees
Space group C2/c (No. 15)
Symmetry-distinct sites (fractional):
In: 0.083 0.090 0.038 (multiplicity 8)
Hg: 0.000 0.412 0.750 (multiplicity 4)
Ge: 0.000 0.310 0.250 (multiplicity 4)
S: 0.105 0.402 0.552 (multiplicity 8)
S: 0.124 0.072 0.703 (multiplicity 8)
S: 0.135 0.241 0.218 (multiplicity 8)

Values from the calculation:
- Energy relative to the elements, uncorrected: -337 kJ/mol of formula units
- Size of the total moment: 0.000 μB per atom

(12)
## In2HgGeSe6 (PBE)

Data for a geometry-optimized In2HgGeSe6 structure.

Cell lengths 12.551, 15.709, 6.898 Å; angles 90.00, 117.96, 90.00 degrees
Space group C2/c (No. 15)
Symmetry-distinct sites (fractional):
In: 0.116 0.084 0.154 (multiplicity 8)
Hg: 0.000 0.334 0.250 (multiplicity 4)
Ge: 0.000 0.321 0.750 (multiplicity 4)
Se: 0.117 0.412 0.641 (multiplicity 8)
Se: 0.134 0.078 0.558 (multiplicity 8)
Se: 0.138 0.250 0.089 (multiplicity 8)

Values from the calculation:
- Energy relative to the elements, uncorrected: -301 kJ/mol of formula units
- Size of the total moment: 0.000 μB per atom